one.
## YTi3Rh (GGA-PBE)

Data for a relaxed YTi3Rh crystal.

Symmetry: Pm-3m (221)
Volume (Å³ per cell): 101.48

a = 4.664 Å, b = 4.664 Å, c = 4.664 Å
α = 90.00°, β = 90.00°, γ = 90.00°
Sites, in units of the cell vectors:
Y  0.000  0.000  0.000
Ti  0.000  0.000  0.500
Ti  0.000  0.500  0.000
Ti  0.500  0.000  0.000
Rh  0.500  0.500  0.500

two.
## YTi3Rh (GGA-PBE)

Data for a relaxed YTi3Rh crystal.

Symmetry: Pm-3m (221)
Volume (Å³ per cell): 110.15

a = 4.794 Å, b = 4.794 Å, c = 4.794 Å
α = 90.00°, β = 90.00°, γ = 90.00°
Sites, in units of the cell vectors:
Y  0.000  0.000  0.000
Ti  0.000  0.500  0.500
Ti  0.500  0.000  0.500
Ti  0.500  0.500  0.000
Rh  0.500  0.500  0.500

Going by the computed energies, the most stable comes first: two, one.

one.
## Y2TiRh (GGA-PBE)

Data for a relaxed Y2TiRh crystal.

Symmetry: I-42d (122)
Volume (Å³ per cell): 192.52

a = 6.392 Å, b = 6.392 Å, c = 6.392 Å
α = 103.19°, β = 103.19°, γ = 122.94°
Sites, in units of the cell vectors:
Y  0.079  0.625  0.954
Y  0.375  0.329  0.454
Y  0.671  0.125  0.046
Y  0.875  0.921  0.546
Ti  0.250  0.750  0.500
Ti  0.500  0.500  0.000
Rh  0.000  0.000  0.000
Rh  0.750  0.250  0.500

two.
## Y2TiRh (GGA-PBE)

Data for a relaxed Y2TiRh crystal.

Symmetry: Fm-3m (225)
Volume (Å³ per cell): 88.48

a = 5.002 Å, b = 5.002 Å, c = 5.002 Å
α = 60.00°, β = 60.00°, γ = 60.00°
Sites, in units of the cell vectors:
Y  0.250  0.250  0.250
Y  0.750  0.750  0.750
Ti  0.000  0.000  0.000
Rh  0.500  0.500  0.500

Going by the computed energies, the most stable comes first: two, one.

one.
## YTi2Rh2 (GGA-PBE)

Data for a relaxed YTi2Rh2 crystal.

Symmetry: I4/mmm (139)
Volume (Å³ per cell): 96.66

a = 5.860 Å, b = 5.860 Å, c = 5.860 Å
α = 135.74°, β = 135.74°, γ = 64.38°
Sites, in units of the cell vectors:
Y  0.000  0.000  0.000
Ti  0.368  0.368  0.000
Ti  0.632  0.632  0.000
Rh  0.250  0.750  0.500
Rh  0.750  0.250  0.500

two.
## YTi2Rh2 (GGA-PBE)

Data for a relaxed YTi2Rh2 crystal.

Symmetry: P4/mbm (127)
Volume (Å³ per cell): 178.78

a = 7.671 Å, b = 7.671 Å, c = 3.038 Å
α = 90.00°, β = 90.00°, γ = 90.00°
Sites, in units of the cell vectors:
Y  0.000  0.000  0.000
Y  0.500  0.500  0.000
Ti  0.151  0.349  0.500
Ti  0.349  0.849  0.500
Ti  0.651  0.151  0.500
Ti  0.849  0.651  0.500
Rh  0.136  0.636  0.000
Rh  0.364  0.136  0.000
Rh  0.636  0.864  0.000
Rh  0.864  0.364  0.000

Going by the computed energies, the most stable comes first: two, one.

one.
## YTiRh2 (GGA-PBE)

Data for a relaxed YTiRh2 crystal.

Symmetry: I-42d (122)
Volume (Å³ per cell): 152.53

a = 5.863 Å, b = 5.863 Å, c = 5.863 Å
α = 105.38°, β = 105.38°, γ = 118.01°
Sites, in units of the cell vectors:
Y  0.000  0.000  0.000
Y  0.750  0.250  0.500
Ti  0.250  0.750  0.500
Ti  0.500  0.500  0.000
Rh  0.168  0.625  0.043
Rh  0.375  0.418  0.543
Rh  0.582  0.125  0.957
Rh  0.875  0.832  0.457

two.
## YTiRh2 (GGA-PBE)

Data for a relaxed YTiRh2 crystal.

Symmetry: P4/mmm (123)
Volume (Å³ per cell): 70.36

a = 4.693 Å, b = 4.693 Å, c = 3.194 Å
α = 90.00°, β = 90.00°, γ = 90.00°
Sites, in units of the cell vectors:
Y  0.000  0.000  0.000
Ti  0.500  0.500  0.000
Rh  0.000  0.500  0.500
Rh  0.500  0.000  0.500

three.
## YTiRh2 (GGA-PBE)

Data for a relaxed YTiRh2 crystal.

Symmetry: Fm-3m (225)
Volume (Å³ per cell): 70.31

a = 4.633 Å, b = 4.633 Å, c = 4.633 Å
α = 60.00°, β = 60.00°, γ = 60.00°
Sites, in units of the cell vectors:
Y  0.000  0.000  0.000
Ti  0.500  0.500  0.500
Rh  0.250  0.250  0.250
Rh  0.750  0.750  0.750

Going by the computed energies, the most stable comes first: three, two, one.

one.
## Ti5Zn2Rh (GGA-PBE)

Data for a relaxed Ti5Zn2Rh crystal.

Symmetry: I4/mmm (139)
Volume (Å³ per cell): 125.11

a = 9.055 Å, b = 9.055 Å, c = 9.055 Å
α = 155.75°, β = 155.75°, γ = 34.56°
Sites, in units of the cell vectors:
Ti  0.000  0.000  0.000
Ti  0.129  0.629  0.500
Ti  0.371  0.871  0.500
Ti  0.629  0.129  0.500
Ti  0.871  0.371  0.500
Zn  0.251  0.251  0.000
Zn  0.749  0.749  0.000
Rh  0.500  0.500  0.000

two.
## Ti5Zn2Rh (GGA-PBE)

Data for a relaxed Ti5Zn2Rh crystal.

Symmetry: I4/mcm (140)
Volume (Å³ per cell): 261.20

a = 7.683 Å, b = 7.683 Å, c = 7.683 Å
α = 129.79°, β = 129.79°, γ = 73.74°
Sites, in units of the cell vectors:
Ti  0.000  0.000  0.000
Ti  0.004  0.504  0.825
Ti  0.180  0.004  0.500
Ti  0.320  0.820  0.825
Ti  0.496  0.320  0.500
Ti  0.500  0.500  0.000
Ti  0.504  0.680  0.500
Ti  0.680  0.180  0.175
Ti  0.820  0.996  0.500
Ti  0.996  0.496  0.175
Zn  0.132  0.368  0.500
Zn  0.368  0.868  0.237
Zn  0.632  0.132  0.763
Zn  0.868  0.632  0.500
Rh  0.250  0.250  0.000
Rh  0.750  0.750  0.000

Going by the computed energies, the most stable comes first: one, two.

one.
## Ti4ZnRh (GGA-PBE)

Data for a relaxed Ti4ZnRh crystal.

Symmetry: P4/mmm (123)
Volume (Å³ per cell): 95.11

a = 3.063 Å, b = 3.063 Å, c = 10.138 Å
α = 90.00°, β = 90.00°, γ = 90.00°
Sites, in units of the cell vectors:
Ti  0.000  0.000  0.158
Ti  0.000  0.000  0.842
Ti  0.500  0.500  0.332
Ti  0.500  0.500  0.668
Zn  0.000  0.000  0.500
Rh  0.500  0.500  0.000

two.
## Ti4ZnRh (GGA-PBE)

Data for a relaxed Ti4ZnRh crystal.

Symmetry: P4/mmm (123)
Volume (Å³ per cell): 110.42

a = 4.243 Å, b = 4.243 Å, c = 6.132 Å
α = 90.00°, β = 90.00°, γ = 90.00°
Sites, in units of the cell vectors:
Ti  0.000  0.500  0.244
Ti  0.000  0.500  0.756
Ti  0.500  0.000  0.244
Ti  0.500  0.000  0.756
Zn  0.000  0.000  0.500
Rh  0.500  0.500  0.000

Going by the computed energies, the most stable comes first: one, two.

one.
## TiZnRh3 (GGA-PBE)

Data for a relaxed TiZnRh3 crystal.

Symmetry: P6_3/mmc (194)
Volume (Å³ per cell): 156.93

a = 6.385 Å, b = 6.385 Å, c = 4.443 Å
α = 90.00°, β = 90.00°, γ = 120.00°
Sites, in units of the cell vectors:
Ti  0.333  0.667  0.250
Ti  0.667  0.333  0.750
Zn  0.000  0.000  0.000
Zn  0.000  0.000  0.500
Rh  0.197  0.395  0.750
Rh  0.197  0.803  0.750
Rh  0.395  0.197  0.250
Rh  0.605  0.803  0.750
Rh  0.803  0.197  0.250
Rh  0.803  0.605  0.250

two.
## TiZnRh3 (GGA-PBE)

Data for a relaxed TiZnRh3 crystal.

Symmetry: Pm-3m (221)
Volume (Å³ per cell): 88.76

a = 4.461 Å, b = 4.461 Å, c = 4.461 Å
α = 90.00°, β = 90.00°, γ = 90.00°
Sites, in units of the cell vectors:
Ti  0.000  0.000  0.000
Zn  0.500  0.500  0.500
Rh  0.000  0.500  0.500
Rh  0.500  0.000  0.500
Rh  0.500  0.500  0.000

Going by the computed energies, the most stable comes first: one, two.

one.
## Ti2Zn2Rh (GGA-PBE)

Data for a relaxed Ti2Zn2Rh crystal.

Symmetry: C2/m (12)
Volume (Å³ per cell): 76.56

a = 4.229 Å, b = 4.229 Å, c = 5.117 Å
α = 108.47°, β = 108.47°, γ = 64.46°
Sites, in units of the cell vectors:
Ti  0.106  0.106  0.312
Ti  0.894  0.894  0.688
Zn  0.311  0.311  0.933
Zn  0.689  0.689  0.067
Rh  0.500  0.500  0.500

two.
## Ti2Zn2Rh (GGA-PBE)

Data for a relaxed Ti2Zn2Rh crystal.

Symmetry: Cmmm (65)
Volume (Å³ per cell): 75.92

a = 6.861 Å, b = 6.861 Å, c = 2.852 Å
α = 90.00°, β = 90.00°, γ = 145.55°
Sites, in units of the cell vectors:
Ti  0.101  0.899  0.000
Ti  0.899  0.101  0.000
Zn  0.301  0.699  0.500
Zn  0.699  0.301  0.500
Rh  0.500  0.500  0.500

three.
## Ti2Zn2Rh (GGA-PBE)

Data for a relaxed Ti2Zn2Rh crystal.

Symmetry: P4/mbm (127)
Volume (Å³ per cell): 152.55

a = 6.664 Å, b = 6.664 Å, c = 3.435 Å
α = 90.00°, β = 90.00°, γ = 90.00°
Sites, in units of the cell vectors:
Ti  0.173  0.327  0.000
Ti  0.327  0.827  0.000
Ti  0.673  0.173  0.000
Ti  0.827  0.673  0.000
Zn  0.129  0.629  0.500
Zn  0.371  0.129  0.500
Zn  0.629  0.871  0.500
Zn  0.871  0.371  0.500
Rh  0.000  0.000  0.500
Rh  0.500  0.500  0.500

Going by the computed energies, the most stable comes first: two, one, three.

one.
## TiZn2Rh2 (GGA-PBE)

Data for a relaxed TiZn2Rh2 crystal.

Symmetry: P4/mbm (127)
Volume (Å³ per cell): 149.79

a = 6.974 Å, b = 6.974 Å, c = 3.080 Å
α = 90.00°, β = 90.00°, γ = 90.00°
Sites, in units of the cell vectors:
Ti  0.000  0.000  0.000
Ti  0.500  0.500  0.000
Zn  0.149  0.351  0.500
Zn  0.351  0.851  0.500
Zn  0.649  0.149  0.500
Zn  0.851  0.649  0.500
Rh  0.150  0.650  0.000
Rh  0.350  0.150  0.000
Rh  0.650  0.850  0.000
Rh  0.850  0.350  0.000

two.
## TiZn2Rh2 (GGA-PBE)

Data for a relaxed TiZn2Rh2 crystal.

Symmetry: I4/mmm (139)
Volume (Å³ per cell): 76.47

a = 7.273 Å, b = 7.273 Å, c = 7.273 Å
α = 153.50°, β = 153.50°, γ = 37.83°
Sites, in units of the cell vectors:
Ti  0.000  0.000  0.000
Zn  0.250  0.750  0.500
Zn  0.750  0.250  0.500
Rh  0.402  0.402  0.000
Rh  0.598  0.598  0.000

Going by the computed energies, the most stable comes first: one, two.

one.
## TiZn2Rh2 (GGA-PBE)

Data for a relaxed TiZn2Rh2 crystal.

Symmetry: P4/mbm (127)
Volume (Å³ per cell): 146.80

a = 7.086 Å, b = 7.086 Å, c = 2.924 Å
α = 90.00°, β = 90.00°, γ = 90.00°
Sites, in units of the cell vectors:
Ti  0.000  0.000  0.000
Ti  0.500  0.500  0.000
Zn  0.122  0.378  0.000
Zn  0.378  0.878  0.000
Zn  0.622  0.122  0.000
Zn  0.878  0.622  0.000
Rh  0.177  0.677  0.500
Rh  0.323  0.177  0.500
Rh  0.677  0.823  0.500
Rh  0.823  0.323  0.500

two.
## TiZn2Rh2 (GGA-PBE)

Data for a relaxed TiZn2Rh2 crystal.

Symmetry: P-3m1 (164)
Volume (Å³ per cell): 81.07

a = 4.234 Å, b = 4.234 Å, c = 5.220 Å
α = 90.00°, β = 90.00°, γ = 120.00°
Sites, in units of the cell vectors:
Ti  0.000  0.000  0.000
Zn  0.333  0.667  0.360
Zn  0.667  0.333  0.640
Rh  0.333  0.667  0.848
Rh  0.667  0.333  0.152

Going by the computed energies, the most stable comes first: two, one.

one.
## ZrTiRh2 (GGA-PBE)

Data for a relaxed ZrTiRh2 crystal.

Symmetry: Fm-3m (225)
Volume (Å³ per cell): 66.27

a = 4.542 Å, b = 4.542 Å, c = 4.542 Å
α = 60.00°, β = 60.00°, γ = 60.00°
Sites, in units of the cell vectors:
Zr  0.000  0.000  0.000
Ti  0.500  0.500  0.500
Rh  0.250  0.250  0.250
Rh  0.750  0.750  0.750

two.
## ZrTiRh2 (GGA-PBE)

Data for a relaxed ZrTiRh2 crystal.

Symmetry: P4/mmm (123)
Volume (Å³ per cell): 65.50

a = 3.026 Å, b = 3.026 Å, c = 7.152 Å
α = 90.00°, β = 90.00°, γ = 90.00°
Sites, in units of the cell vectors:
Zr  0.000  0.000  0.000
Ti  0.000  0.000  0.500
Rh  0.500  0.500  0.284
Rh  0.500  0.500  0.716

Going by the computed energies, the most stable comes first: two, one.

one.
## ZrTiRh2 (GGA-PBE)

Data for a relaxed ZrTiRh2 crystal.

Symmetry: P4/mmm (123)
Volume (Å³ per cell): 66.28

a = 4.520 Å, b = 4.520 Å, c = 3.244 Å
α = 90.00°, β = 90.00°, γ = 90.00°
Sites, in units of the cell vectors:
Zr  0.000  0.000  0.000
Ti  0.500  0.500  0.000
Rh  0.000  0.500  0.500
Rh  0.500  0.000  0.500

two.
## ZrTiRh2 (GGA-PBE)

Data for a relaxed ZrTiRh2 crystal.

Symmetry: I-42d (122)
Volume (Å³ per cell): 149.23

a = 8.907 Å, b = 8.907 Å, c = 8.907 Å
α = 152.61°, β = 152.61°, γ = 39.12°
Sites, in units of the cell vectors:
Zr  0.000  0.000  0.000
Zr  0.750  0.250  0.500
Ti  0.250  0.750  0.500
Ti  0.500  0.500  0.000
Rh  0.153  0.625  0.028
Rh  0.375  0.403  0.528
Rh  0.597  0.125  0.972
Rh  0.875  0.847  0.472

Going by the computed energies, the most stable comes first: one, two.